(1)
# AcTmSeS2 | Alexandria | PBE-GGA | optimized geometry
# symmetry	No. 140
# crystal system	tetragonal
# raw formation energy	-1.97	eV/atom
# total DFT energy (no corrections)	-60.3	eV/cell
# volume	26.78	Å³ per atom
# M_tot	0.00	Bohr magnetons per cell
data_AcTmSeS2
_space_group_name_H-M_alt 'P 1'
_space_group_IT_number 1
_cell_length_a 7.330
_cell_length_b 7.330
_cell_length_c 7.330
_cell_angle_alpha 122.36
_cell_angle_beta 122.36
_cell_angle_gamma 85.96
loop_
_space_group_symop_operation_xyz
'x,y,z'
loop_
_atom_site_label
_atom_site_type_symbol
_atom_site_fract_x
_atom_site_fract_y
_atom_site_fract_z
Ac1 Ac 0.250 0.750 0.500
Ac2 Ac 0.750 0.250 0.500
Tm1 Tm 0.000 0.000 0.000
Tm2 Tm 0.500 0.500 0.000
Se1 Se 0.250 0.250 0.000
Se2 Se 0.750 0.750 0.000
S1 S 0.163 0.663 0.826
S2 S 0.337 0.163 0.500
S3 S 0.663 0.837 0.500
S4 S 0.837 0.337 0.174

---

(2)
# AcTmSe2S | Alexandria | PBE-GGA | optimized geometry
# symmetry	No. 129
# crystal system	tetragonal
# raw formation energy	-1.77	eV/atom
# total DFT energy (no corrections)	-57.0	eV/cell
# volume	27.69	Å³ per atom
# M_tot	0.00	Bohr magnetons per cell
data_AcTmSe2S
_space_group_name_H-M_alt 'P 1'
_space_group_IT_number 1
_cell_length_a 4.326
_cell_length_b 4.326
_cell_length_c 14.795
_cell_angle_alpha 90.00
_cell_angle_beta 90.00
_cell_angle_gamma 90.00
loop_
_space_group_symop_operation_xyz
'x,y,z'
loop_
_atom_site_label
_atom_site_type_symbol
_atom_site_fract_x
_atom_site_fract_y
_atom_site_fract_z
Ac1 Ac 0.250 0.250 0.130
Ac2 Ac 0.750 0.750 0.870
Tm1 Tm 0.250 0.250 0.601
Tm2 Tm 0.750 0.750 0.399
Se1 Se 0.250 0.250 0.407
Se2 Se 0.250 0.250 0.781
Se3 Se 0.750 0.750 0.219
Se4 Se 0.750 0.750 0.593
S1 S 0.250 0.750 0.000
S2 S 0.750 0.250 0.000

---

(3)
# AcUSeS2 | Alexandria | PBE-GGA | optimized geometry
# symmetry	No. 107
# crystal system	tetragonal
# raw formation energy	-1.31	eV/atom
# total DFT energy (no corrections)	-67.3	eV/cell
# volume	27.96	Å³ per atom
# M_tot	6.00	Bohr magnetons per cell
data_AcUSeS2
_space_group_name_H-M_alt 'P 1'
_space_group_IT_number 1
_cell_length_a 4.484
_cell_length_b 4.484
_cell_length_c 13.906
_cell_angle_alpha 90.00
_cell_angle_beta 90.00
_cell_angle_gamma 90.00
loop_
_space_group_symop_operation_xyz
'x,y,z'
loop_
_atom_site_label
_atom_site_type_symbol
_atom_site_fract_x
_atom_site_fract_y
_atom_site_fract_z
Ac1 Ac 0.000 0.000 0.000
Ac2 Ac 0.500 0.500 0.500
U1 U 0.000 0.000 0.263
U2 U 0.500 0.500 0.763
Se1 Se 0.000 0.000 0.622
Se2 Se 0.500 0.500 0.122
S1 S 0.000 0.500 0.367
S2 S 0.000 0.500 0.867
S3 S 0.500 0.000 0.367
S4 S 0.500 0.000 0.867

---

(4)
# AcYSeS | Alexandria | PBE-GGA | optimized geometry
# symmetry	No. 160
# crystal system	trigonal
# raw formation energy	-1.91	eV/atom
# total DFT energy (no corrections)	-77.4	eV/cell
# volume	26.11	Å³ per atom
# M_tot	0.00	Bohr magnetons per cell
data_AcYSeS
_space_group_name_H-M_alt 'P 1'
_space_group_IT_number 1
_cell_length_a 4.116
_cell_length_b 4.116
_cell_length_c 21.357
_cell_angle_alpha 90.00
_cell_angle_beta 90.00
_cell_angle_gamma 120.00
loop_
_space_group_symop_operation_xyz
'x,y,z'
loop_
_atom_site_label
_atom_site_type_symbol
_atom_site_fract_x
_atom_site_fract_y
_atom_site_fract_z
Ac1 Ac 0.000 0.000 0.000
Ac2 Ac 0.333 0.667 0.667
Ac3 Ac 0.667 0.333 0.333
Y1 Y 0.000 0.000 0.513
Y2 Y 0.333 0.667 0.179
Y3 Y 0.667 0.333 0.846
Se1 Se 0.000 0.000 0.766
Se2 Se 0.333 0.667 0.432
Se3 Se 0.667 0.333 0.099
S1 S 0.000 0.000 0.245
S2 S 0.333 0.667 0.912
S3 S 0.667 0.333 0.579

---

Please write out number 4 again, unchanged.
# AcYSeS | Alexandria | PBE-GGA | optimized geometry
# symmetry	No. 160
# crystal system	trigonal
# raw formation energy	-1.91	eV/atom
# total DFT energy (no corrections)	-77.4	eV/cell
# volume	26.11	Å³ per atom
# M_tot	0.00	Bohr magnetons per cell
data_AcYSeS
_space_group_name_H-M_alt 'P 1'
_space_group_IT_number 1
_cell_length_a 4.116
_cell_length_b 4.116
_cell_length_c 21.357
_cell_angle_alpha 90.00
_cell_angle_beta 90.00
_cell_angle_gamma 120.00
loop_
_space_group_symop_operation_xyz
'x,y,z'
loop_
_atom_site_label
_atom_site_type_symbol
_atom_site_fract_x
_atom_site_fract_y
_atom_site_fract_z
Ac1 Ac 0.000 0.000 0.000
Ac2 Ac 0.333 0.667 0.667
Ac3 Ac 0.667 0.333 0.333
Y1 Y 0.000 0.000 0.513
Y2 Y 0.333 0.667 0.179
Y3 Y 0.667 0.333 0.846
Se1 Se 0.000 0.000 0.766
Se2 Se 0.333 0.667 0.432
Se3 Se 0.667 0.333 0.099
S1 S 0.000 0.000 0.245
S2 S 0.333 0.667 0.912
S3 S 0.667 0.333 0.579